# 1
TiMnPOsS | GGA-PBE | relaxed Values from VASP.

```
&SYSTEM
  ibrav = 0, nat = 15, ntyp = 5
/
ATOMIC_SPECIES
Ti 47.87 Ti.upf
Mn 54.94 Mn.upf
P 30.97 P.upf
Os 190.23 Os.upf
S 32.06 S.upf
CELL_PARAMETERS angstrom
-3.4033 1.0960 0.3202
0.7135 -3.4062 -0.8805
0.2399 -5.2845 20.6368
ATOMIC_POSITIONS crystal
Ti 0.0000 0.0000 0.4699
Ti 0.3333 0.6667 0.1366
Ti 0.6667 0.3333 0.8033
Mn 0.0000 0.0000 0.6109
Mn 0.3333 0.6667 0.2776
Mn 0.6667 0.3333 0.9442
P 0.0000 0.0000 0.7336
P 0.3333 0.6667 0.4003
P 0.6667 0.3333 0.0669
Os 0.0000 0.0000 0.0295
Os 0.3333 0.6667 0.6962
Os 0.6667 0.3333 0.3628
S 0.0000 0.0000 0.2070
S 0.3333 0.6667 0.8737
S 0.6667 0.3333 0.5404
```

Values from the calculation:
- symmetry = R3m (160)
- polymorph energy (0 for the lowest one) (kJ/mol of atoms) = 0.00
- final energy (eV per cell) = -121.466
- volume (Å³/cell) = 237.7
- D(E_F) (states/eV/f.u.) = 3.06
- ρ (g cm⁻³) = 7.46



# 2
Rb2HfNbPb | GGA-PBE | relaxed Values from VASP.

```
&SYSTEM
  ibrav = 0, nat = 5, ntyp = 4
/
ATOMIC_SPECIES
Pb 207.20 Pb.upf
Nb 92.91 Nb.upf
Hf 178.49 Hf.upf
Rb 85.47 Rb.upf
CELL_PARAMETERS angstrom
6.8622 0.0000 0.0000
0.0000 4.9149 0.0000
0.0000 0.0000 6.8622
ATOMIC_POSITIONS crystal
Pb 0.5000 0.5000 0.5000
Nb 0.0000 0.5000 0.0000
Hf 0.0000 0.0000 0.0000
Rb 0.0000 0.0000 0.5000
Rb 0.5000 0.0000 0.0000
```

Values from the calculation:
- symmetry = P4/mmm (123)
- polymorph energy (0 for the lowest one) (kJ/mol of atoms) = 0.00
- final energy (eV per cell) = -18.307
- volume (Å³/cell) = 231.4
- D(E_F) (states/eV/f.u.) = 4.44
- ρ (g cm⁻³) = 4.66
- formation energy from the elements (eV per atom) = 1.4719



# 3
Sc4SiRu | GGA-PBE | relaxed Values from VASP.

```
&SYSTEM
  ibrav = 0, nat = 6, ntyp = 3
/
ATOMIC_SPECIES
Sc 44.96 Sc.upf
Si 28.09 Si.upf
Ru 101.07 Ru.upf
CELL_PARAMETERS angstrom
0.0000 3.8588 3.8588
3.8588 0.0000 3.8588
3.8588 3.8588 0.0000
ATOMIC_POSITIONS crystal
Sc 0.8787 0.3738 0.3738
Sc 0.3738 0.3738 0.8787
Sc 0.3738 0.8787 0.3738
Sc 0.3738 0.3738 0.3738
Si 0.7500 0.7500 0.7500
Ru 0.0000 0.0000 0.0000
```

Values from the calculation:
- symmetry = F-43m (216)
- final energy (eV per cell) = -37.657
- volume (Å³/cell) = 114.9
- D(E_F) (states/eV/f.u.) = 7.05
- ρ (g cm⁻³) = 4.46



# 4
CeAu2I8 | GGA-PBE | relaxed Values from VASP.

```
&SYSTEM
  ibrav = 0, nat = 11, ntyp = 3
/
ATOMIC_SPECIES
I 126.90 I.upf
Au 196.97 Au.upf
Ce 140.12 Ce.upf
CELL_PARAMETERS angstrom
-2.9259 -5.8488 -2.8379
-0.2146 -2.0622 8.4439
-7.0201 5.0747 0.7515
ATOMIC_POSITIONS crystal
I 0.7993 0.9049 0.2744
I 0.2007 0.7256 0.0951
I 0.6758 0.7706 0.7706
I 0.3242 0.2294 0.2294
I 0.7993 0.2744 0.9049
I 0.2007 0.0951 0.7256
I 0.1582 0.5949 0.5949
I 0.8418 0.4051 0.4051
Au 0.3681 0.8665 0.8665
Au 0.6319 0.1335 0.1335
Ce 0.0000 0.0000 0.0000
```

Values from the calculation:
- symmetry = C2/m (12)
- polymorph energy (0 for the lowest one) (kJ/mol of atoms) = 0.00
- final energy (eV per cell) = -30.710
- volume (Å³/cell) = 519.8
- ρ (g cm⁻³) = 4.95



# 5
Ca3Ta3ReN8 | GGA-PBE | relaxed Values from VASP.

```
&SYSTEM
  ibrav = 0, nat = 15, ntyp = 4
/
ATOMIC_SPECIES
Ca 40.08 Ca.upf
Ta 180.95 Ta.upf
Re 186.21 Re.upf
N 14.01 N.upf
CELL_PARAMETERS angstrom
6.2359 -0.0005 0.0001
-3.1184 5.4020 -0.0175
0.0003 -3.5812 5.6355
ATOMIC_POSITIONS crystal
Ca 0.0000 0.0000 0.0000
Ca 0.0000 0.5000 0.0000
Ca 0.5000 0.5000 0.0000
Ta 0.5000 0.0000 0.5000
Ta 0.5000 0.5000 0.5000
Ta 0.0000 0.5000 0.5000
Re 0.0000 0.0000 0.5000
N 0.2621 0.5241 0.2860
N 0.7379 0.4759 0.7140
N 0.7646 0.5293 0.2960
N 0.2354 0.4707 0.7040
N 0.7648 0.0313 0.2960
N 0.2352 0.9687 0.7040
N 0.2668 0.0313 0.2961
N 0.7332 0.9687 0.7039
```

Values from the calculation:
- symmetry = R-3m (166)
- final energy (eV per cell) = -134.997
- volume (Å³/cell) = 189.4
- D(E_F) (states/eV/f.u.) = 6.97
- ρ (g cm⁻³) = 8.43



# 6
Y5Sn2C | GGA-PBE | relaxed Values from VASP.

```
&SYSTEM
  ibrav = 0, nat = 16, ntyp = 3
/
ATOMIC_SPECIES
Y 88.91 Y.upf
Sn 118.71 Sn.upf
C 12.01 C.upf
CELL_PARAMETERS angstrom
5.2870 0.0000 0.0000
-2.6435 7.9859 0.0000
0.0000 0.0000 12.0945
ATOMIC_POSITIONS crystal
Y 0.9278 0.8556 0.8858
Y 0.9278 0.8556 0.6142
Y 0.2821 0.5643 0.4124
Y 0.2821 0.5643 0.0876
Y 0.6924 0.3848 0.2500
Y 0.3076 0.6152 0.7500
Y 0.7179 0.4357 0.5876
Y 0.7179 0.4357 0.9124
Y 0.0722 0.1444 0.1142
Y 0.0722 0.1444 0.3858
Sn 0.8721 0.7441 0.3757
Sn 0.8721 0.7441 0.1243
Sn 0.1279 0.2559 0.6243
Sn 0.1279 0.2559 0.8757
C 0.8208 0.6417 0.7500
C 0.1792 0.3583 0.2500
```

Values from the calculation:
- symmetry = Cmcm (63)
- final energy (eV per cell) = -100.982
- volume (Å³/cell) = 510.6
- D(E_F) (states/eV/f.u.) = 8.68
- ρ (g cm⁻³) = 4.51
- formation energy from the elements (eV per atom) = -0.1176



# 7
Ac4TePb2N2 | GGA-PBE | relaxed Values from VASP.

```
&SYSTEM
  ibrav = 0, nat = 9, ntyp = 4
/
ATOMIC_SPECIES
Ac 227.00 Ac.upf
Te 127.60 Te.upf
Pb 207.20 Pb.upf
N 14.01 N.upf
CELL_PARAMETERS angstrom
4.3940 0.0000 0.0000
0.0000 9.9574 -0.6746
-2.1970 -4.5257 7.9123
ATOMIC_POSITIONS crystal
Ac 0.2293 0.1302 0.4586
Ac 0.7707 0.8698 0.5414
Ac 0.5249 0.7715 0.0498
Ac 0.4751 0.2285 0.9502
Te 0.0000 0.0000 0.0000
Pb 0.0984 0.5633 0.1968
Pb 0.9016 0.4367 0.8032
N 0.6769 0.9743 0.3537
N 0.3231 0.0257 0.6463
```

Values from the calculation:
- symmetry = C2/m (12)
- final energy (eV per cell) = -52.595
- volume (Å³/cell) = 332.8
- D(E_F) (states/eV/f.u.) = 5.70
- ρ (g cm⁻³) = 7.38



# 8
Be3Ag | GGA-PBE | relaxed Values from VASP.

```
&SYSTEM
  ibrav = 0, nat = 4, ntyp = 2
/
ATOMIC_SPECIES
Be 9.01 Be.upf
Ag 107.87 Ag.upf
CELL_PARAMETERS angstrom
4.4067 0.0000 0.0000
0.0000 4.4067 0.0000
0.0000 0.0000 4.4067
ATOMIC_POSITIONS crystal
Be 0.5000 0.0000 0.0000
Be 0.0000 0.5000 0.0000
Be 0.0000 0.0000 0.5000
Ag 0.0000 0.0000 0.0000
```

Values from the calculation:
- symmetry = Pm-3m (221)
- polymorph energy (0 for the lowest one) (kJ/mol of atoms) = 103.62
- final energy (eV per cell) = -9.171
- volume (Å³/cell) = 85.6
- D(E_F) (states/eV/f.u.) = 1.23
- ρ (g cm⁻³) = 2.62
- formation energy from the elements (eV per atom) = 1.2147



# 9
RbLiNi2 | GGA-PBE | relaxed Values from VASP.

```
&SYSTEM
  ibrav = 0, nat = 4, ntyp = 3
/
ATOMIC_SPECIES
Ni 58.69 Ni.upf
Rb 85.47 Rb.upf
Li 6.94 Li.upf
CELL_PARAMETERS angstrom
2.1990 2.2573 3.5642
-2.5537 2.1988 3.3584
-0.1690 -1.7819 4.4080
ATOMIC_POSITIONS crystal
Ni 0.2500 0.2500 0.2500
Ni 0.7500 0.7500 0.7500
Rb 0.5000 0.5000 0.5000
Li 0.0000 0.0000 0.0000
```

Values from the calculation:
- symmetry = Fm-3m (225)
- polymorph energy (0 for the lowest one) (kJ/mol of atoms) = 37.49
- final energy (eV per cell) = -10.269
- volume (Å³/cell) = 76.1
- D(E_F) (states/eV/f.u.) = 1.56
- ρ (g cm⁻³) = 4.58
- formation energy from the elements (eV per atom) = 1.0438



# 10
BeCu3 | GGA-PBE | relaxed Values from VASP.

```
&SYSTEM
  ibrav = 0, nat = 8, ntyp = 2
/
ATOMIC_SPECIES
Be 9.01 Be.upf
Cu 63.55 Cu.upf
CELL_PARAMETERS angstrom
4.9963 0.0000 0.0000
-2.4982 4.3270 0.0000
0.0000 0.0000 4.0645
ATOMIC_POSITIONS crystal
Be 0.3333 0.6667 0.2500
Be 0.6667 0.3333 0.7500
Cu 0.8306 0.6612 0.2500
Cu 0.3388 0.1694 0.2500
Cu 0.8306 0.1694 0.2500
Cu 0.1694 0.3388 0.7500
Cu 0.6612 0.8306 0.7500
Cu 0.1694 0.8306 0.7500
```

Values from the calculation:
- symmetry = P6_3/mmc (194)
- final energy (eV per cell) = -32.260
- volume (Å³/cell) = 87.9
- D(E_F) (states/eV/f.u.) = 0.80
- ρ (g cm⁻³) = 7.55
- formation energy from the elements (eV per atom) = -0.0288



# 11
CsSrSe2N | GGA-PBE | relaxed Values from VASP.

```
&SYSTEM
  ibrav = 0, nat = 5, ntyp = 4
/
ATOMIC_SPECIES
Cs 132.91 Cs.upf
Sr 87.62 Sr.upf
Se 78.96 Se.upf
N 14.01 N.upf
CELL_PARAMETERS angstrom
5.9785 0.0000 0.0000
0.0000 5.9785 0.0000
0.0000 0.0000 4.5396
ATOMIC_POSITIONS crystal
Cs 0.0000 0.0000 0.0000
Sr 0.5000 0.5000 0.5000
Se 0.0000 0.5000 0.0000
Se 0.5000 0.0000 0.0000
N 0.0000 0.0000 0.5000
```

Values from the calculation:
- symmetry = P4/mmm (123)
- polymorph energy (0 for the lowest one) (kJ/mol of atoms) = 42.61
- final energy (eV per cell) = -14.564
- volume (Å³/cell) = 162.3
- D(E_F) (states/eV/f.u.) = 3.93
- ρ (g cm⁻³) = 4.02



# 12
KB2Se4 | GGA-PBE | relaxed Values from VASP.

```
&SYSTEM
  ibrav = 0, nat = 14, ntyp = 3
/
ATOMIC_SPECIES
K 39.10 K.upf
B 10.81 B.upf
Se 78.96 Se.upf
CELL_PARAMETERS angstrom
6.2298 -3.3261 -0.0038
-2.7595 9.7342 -0.4030
-1.8015 -4.1866 10.2158
ATOMIC_POSITIONS crystal
K 0.1616 0.6488 0.5005
K 0.0881 0.1012 0.9996
B 0.6249 0.3750 0.7501
B 0.6252 0.8751 0.2501
B 0.6250 0.3749 0.2498
B 0.1249 0.3750 0.7500
Se 0.9074 0.1457 0.2926
Se 0.3429 0.6044 0.2075
Se 0.8863 0.6363 0.7720
Se 0.8682 0.1145 0.7296
Se 0.4249 0.1714 0.2997
Se 0.3636 0.1137 0.7281
Se 0.3816 0.6354 0.7704
Se 0.8253 0.5786 0.2002
```

Values from the calculation:
- symmetry = P-1 (2)
- final energy (eV per cell) = -58.860
- volume (Å³/cell) = 512.7
- D(E_F) (states/eV/f.u.) = 1.72
- ρ (g cm⁻³) = 2.44



# 13
Er2Be4NiIr3 | GGA-PBE | relaxed Values from VASP.

```
&SYSTEM
  ibrav = 0, nat = 10, ntyp = 4
/
ATOMIC_SPECIES
Er 167.26 Er.upf
Be 9.01 Be.upf
Ni 58.69 Ni.upf
Ir 192.22 Ir.upf
CELL_PARAMETERS angstrom
3.9034 0.0000 0.0000
0.0000 3.9034 0.0000
0.0000 0.0000 9.3441
ATOMIC_POSITIONS crystal
Er 0.5000 0.0000 0.2530
Er 0.0000 0.5000 0.7470
Be 0.5000 0.5000 0.0000
Be 0.0000 0.0000 0.0000
Be 0.5000 0.0000 0.6211
Be 0.0000 0.5000 0.3789
Ni 0.5000 0.5000 0.5000
Ir 0.0000 0.0000 0.5000
Ir 0.5000 0.0000 0.8689
Ir 0.0000 0.5000 0.1311
```

Values from the calculation:
- symmetry = P-4m2 (115)
- final energy (eV per cell) = -62.784
- volume (Å³/cell) = 142.4
- D(E_F) (states/eV/f.u.) = 3.37
- ρ (g cm⁻³) = 11.73
- formation energy from the elements (eV per atom) = -0.6389



# 14
Ce5C2Cl2 | GGA-PBE | relaxed Values from VASP.

```
&SYSTEM
  ibrav = 0, nat = 9, ntyp = 3
/
ATOMIC_SPECIES
Ce 140.12 Ce.upf
C 12.01 C.upf
Cl 35.45 Cl.upf
CELL_PARAMETERS angstrom
4.0400 0.0000 0.0000
-2.0200 6.8824 -1.2132
0.0000 -1.9626 8.4398
ATOMIC_POSITIONS crystal
Ce 0.3446 0.6892 0.9110
Ce 0.6554 0.3108 0.0890
Ce 0.1364 0.2729 0.4422
Ce 0.8636 0.7271 0.5578
Ce 0.0000 0.0000 0.0000
C 0.3093 0.6187 0.6320
C 0.6907 0.3813 0.3680
Cl 0.0997 0.1995 0.7578
Cl 0.9003 0.8005 0.2422
```

Values from the calculation:
- symmetry = C2/m (12)
- final energy (eV per cell) = -55.784
- volume (Å³/cell) = 225.0
- D(E_F) (states/eV/f.u.) = 14.51
- ρ (g cm⁻³) = 5.87



# 15
TbThSe4 | GGA-PBE | relaxed Values from VASP.

```
&SYSTEM
  ibrav = 0, nat = 12, ntyp = 3
/
ATOMIC_SPECIES
Tb 158.93 Tb.upf
Th 232.04 Th.upf
Se 78.96 Se.upf
CELL_PARAMETERS angstrom
-4.3625 3.1047 4.7448
3.4671 -3.1449 5.2456
4.6026 5.3733 0.1794
ATOMIC_POSITIONS crystal
Tb 0.5000 0.0000 0.5000
Tb 0.0000 0.5000 0.5000
Th 0.0000 0.0000 0.0000
Th 0.5000 0.5000 0.0000
Se 0.8533 0.6438 0.1452
Se 0.6467 0.1438 0.8548
Se 0.3689 0.3710 0.3731
Se 0.1311 0.8710 0.6269
Se 0.1467 0.3562 0.8548
Se 0.3533 0.8562 0.1452
Se 0.6311 0.6290 0.6269
Se 0.8689 0.1290 0.3731
```

Values from the calculation:
- symmetry = P2_1/c (14)
- final energy (eV per cell) = -68.874
- volume (Å³/cell) = 355.5
- D(E_F) (states/eV/f.u.) = 3.12
- ρ (g cm⁻³) = 6.60



# 16
KZnFe2 | GGA-PBE | relaxed Values from VASP.

```
&SYSTEM
  ibrav = 0, nat = 4, ntyp = 3
/
ATOMIC_SPECIES
Fe 55.84 Fe.upf
K 39.10 K.upf
Zn 65.41 Zn.upf
CELL_PARAMETERS angstrom
-2.9634 -4.3033 0.4055
1.8457 -4.0718 -2.7347
2.0900 3.3483 3.4476
ATOMIC_POSITIONS crystal
Fe 0.0000 0.0000 0.0000
Fe 0.5000 0.5000 0.0000
K 0.2500 0.7500 0.5000
Zn 0.7500 0.2500 0.5000
```

Values from the calculation:
- symmetry = I4/mmm (139)
- final energy (eV per cell) = -14.760
- volume (Å³/cell) = 72.4
- D(E_F) (states/eV/f.u.) = 4.52
- ρ (g cm⁻³) = 4.96
- formation energy from the elements (eV per atom) = 1.1343



# 17
PrPu4Rh5 | GGA-PBE | relaxed Values from VASP.

```
&SYSTEM
  ibrav = 0, nat = 10, ntyp = 3
/
ATOMIC_SPECIES
Pr 140.91 Pr.upf
Pu 244.00 Pu.upf
Rh 102.91 Rh.upf
CELL_PARAMETERS angstrom
-3.0179 0.9373 1.7296
0.6265 -2.5445 2.4719
8.0312 10.2136 8.4781
ATOMIC_POSITIONS crystal
Pr 0.0000 0.0000 0.0000
Pu 0.0000 0.0000 0.2176
Pu 0.0000 0.0000 0.4264
Pu 0.0000 0.0000 0.5736
Pu 0.0000 0.0000 0.7824
Rh 0.5000 0.5000 0.1209
Rh 0.5000 0.5000 0.3197
Rh 0.5000 0.5000 0.5000
Rh 0.5000 0.5000 0.6803
Rh 0.5000 0.5000 0.8791
```

Values from the calculation:
- symmetry = P4/mmm (123)
- final energy (eV per cell) = -100.711
- volume (Å³/cell) = 201.3
- D(E_F) (states/eV/f.u.) = 33.57
- ρ (g cm⁻³) = 13.46
- formation energy from the elements (eV per atom) = -0.1846



# 18
HoAs2Rh7Pb2 | GGA-PBE | relaxed Values from VASP.

```
&SYSTEM
  ibrav = 0, nat = 12, ntyp = 4
/
ATOMIC_SPECIES
Ho 164.93 Ho.upf
As 74.92 As.upf
Rh 102.91 Rh.upf
Pb 207.20 Pb.upf
CELL_PARAMETERS angstrom
3.9970 0.0085 0.1194
0.0134 3.9970 0.1194
2.3791 2.3762 14.1822
ATOMIC_POSITIONS crystal
Ho 0.0000 0.0000 0.0000
As 0.6729 0.6729 0.7526
As 0.3271 0.3271 0.2474
Rh 0.5000 0.5000 0.0000
Rh 0.1971 0.1971 0.4216
Rh 0.8029 0.8029 0.5784
Rh 0.8947 0.3946 0.1501
Rh 0.3946 0.8947 0.1501
Rh 0.6054 0.1053 0.8499
Rh 0.1053 0.6054 0.8499
Pb 0.7173 0.7173 0.3900
Pb 0.2827 0.2827 0.6100
```

Values from the calculation:
- symmetry = C2/m (12)
- final energy (eV per cell) = -76.062
- volume (Å³/cell) = 224.3
- D(E_F) (states/eV/f.u.) = 9.26
- ρ (g cm⁻³) = 10.73
- formation energy from the elements (eV per atom) = -0.2757



# 19
Ce3TmSc2S6 | GGA-PBE | relaxed Values from VASP.

```
&SYSTEM
  ibrav = 0, nat = 12, ntyp = 4
/
ATOMIC_SPECIES
Ce 140.12 Ce.upf
Tm 168.93 Tm.upf
Sc 44.96 Sc.upf
S 32.06 S.upf
CELL_PARAMETERS angstrom
6.6585 -0.0030 -0.0011
-3.3302 5.7659 -0.0011
-1.1111 -1.9239 6.4833
ATOMIC_POSITIONS crystal
Ce 0.1649 0.8351 0.5000
Ce 0.8351 0.1649 0.5000
Ce 0.5000 0.5000 0.5000
Tm 0.0000 0.0000 0.0000
Sc 0.3331 0.6669 0.0000
Sc 0.6669 0.3331 0.0000
S 0.9245 0.5850 0.7735
S 0.7352 0.7352 0.2244
S 0.0755 0.4150 0.2265
S 0.5850 0.9245 0.7735
S 0.2648 0.2648 0.7756
S 0.4150 0.0755 0.2265
```

Values from the calculation:
- symmetry = C2/m (12)
- final energy (eV per cell) = -83.261
- volume (Å³/cell) = 248.8
- D(E_F) (states/eV/f.u.) = 15.78
- ρ (g cm⁻³) = 5.82